1.
# CeBiSb

An optimized crystal structure of CeBiSb (GGA-PBE, Alexandria via LeMat-Bulk).

- Fermi-level density of states: 4.34 states/eV/cell
- DFT total energy: -31.75 eV/cell
- SG: I4/mmm
- Formation energy from raw total energies: -1.939 eV per formula unit

Lattice parameters (Å, degrees): 9.474 9.474 9.474 152.75 152.75 38.91
Fractional coordinates of all 6 atoms:
Ce: 0.133 0.133 0.000
Ce: 0.867 0.867 0.000
Bi: 0.319 0.319 0.000
Bi: 0.681 0.681 0.000
Sb: 0.000 0.500 0.500
Sb: 0.500 0.000 0.500

=====

2.
# CeBiSb2

An optimized crystal structure of CeBiSb2 (GGA-PBE, Alexandria via LeMat-Bulk).

- Fermi-level density of states: 5.32 states/eV/cell
- DFT total energy: -19.81 eV/cell
- SG: P4/mmm
- Formation energy from raw total energies: -1.753 eV per formula unit

Lattice parameters (Å, degrees): 4.172 4.172 6.593 90.00 90.00 90.00
Fractional coordinates of all 4 atoms:
Ce: 0.000 0.000 0.000
Bi: 0.000 0.000 0.500
Sb: 0.500 0.500 0.234
Sb: 0.500 0.500 0.766

=====

3.
# Ce3BiSb

An optimized crystal structure of Ce3BiSb (GGA-PBE, Alexandria via LeMat-Bulk).

- Fermi-level density of states: 48.13 states/eV/cell
- DFT total energy: -113.54 eV/cell
- SG: C2/c
- Formation energy from raw total energies: -2.579 eV per formula unit

Lattice parameters (Å, degrees): 9.059 9.059 11.636 108.83 108.83 43.03
Fractional coordinates of all 20 atoms:
Ce: 0.067 0.757 0.948
Ce: 0.167 0.234 0.276
Ce: 0.222 0.490 0.627
Ce: 0.234 0.167 0.776
Ce: 0.243 0.933 0.552
Ce: 0.490 0.222 0.127
Ce: 0.510 0.778 0.873
Ce: 0.757 0.067 0.448
Ce: 0.766 0.833 0.224
Ce: 0.778 0.510 0.373
Ce: 0.833 0.766 0.724
Ce: 0.933 0.243 0.052
Bi: 0.264 0.550 0.377
Bi: 0.450 0.736 0.123
Bi: 0.550 0.264 0.877
Bi: 0.736 0.450 0.623
Sb: 0.000 0.500 0.000
Sb: 0.052 0.948 0.750
Sb: 0.500 0.000 0.500
Sb: 0.948 0.052 0.250

=====

4.
# Ce2BiSb

An optimized crystal structure of Ce2BiSb (GGA-PBE, Alexandria via LeMat-Bulk).

- Fermi-level density of states: 13.84 states/eV/cell
- DFT total energy: -23.11 eV/cell
- SG: R3m
- Formation energy from raw total energies: -3.239 eV per formula unit

Lattice parameters (Å, degrees): 8.239 8.239 8.239 31.50 31.50 31.50
Fractional coordinates of all 4 atoms:
Ce: 0.000 0.000 0.000
Ce: 0.175 0.175 0.175
Bi: 0.419 0.419 0.419
Sb: 0.590 0.590 0.590

=====

5.
# Ce2BiSb

An optimized crystal structure of Ce2BiSb (GGA-PBE, Alexandria via LeMat-Bulk).

- Fermi-level density of states: 11.27 states/eV/cell
- DFT total energy: -22.88 eV/cell
- SG: P4/mmm
- Formation energy from raw total energies: -3.008 eV per formula unit

Lattice parameters (Å, degrees): 3.839 3.839 8.013 90.00 90.00 90.00
Fractional coordinates of all 4 atoms:
Ce: 0.000 0.000 0.237
Ce: 0.000 0.000 0.763
Bi: 0.500 0.500 0.500
Sb: 0.500 0.500 0.000

=====

6.
# CeBiSb2

An optimized crystal structure of CeBiSb2 (GGA-PBE, Alexandria via LeMat-Bulk).

- Fermi-level density of states: 4.86 states/eV/cell
- DFT total energy: -20.15 eV/cell
- SG: P4/mmm
- Formation energy from raw total energies: -2.087 eV per formula unit

Lattice parameters (Å, degrees): 4.993 4.993 4.514 90.00 90.00 90.00
Fractional coordinates of all 4 atoms:
Ce: 0.000 0.000 0.000
Bi: 0.500 0.500 0.000
Sb: 0.000 0.500 0.500
Sb: 0.500 0.000 0.500

=====

7.
# Ce5BiSb2

An optimized crystal structure of Ce5BiSb2 (GGA-PBE, Alexandria via LeMat-Bulk).

- Fermi-level density of states: 49.08 states/eV/cell
- DFT total energy: -93.16 eV/cell
- SG: Cmcm
- Formation energy from raw total energies: -4.783 eV per formula unit

Lattice parameters (Å, degrees): 5.494 5.494 18.253 90.00 90.00 113.80
Fractional coordinates of all 16 atoms:
Ce: 0.103 0.897 0.580
Ce: 0.103 0.897 0.920
Ce: 0.181 0.819 0.250
Ce: 0.388 0.612 0.589
Ce: 0.388 0.612 0.911
Ce: 0.612 0.388 0.089
Ce: 0.612 0.388 0.411
Ce: 0.819 0.181 0.750
Ce: 0.897 0.103 0.080
Ce: 0.897 0.103 0.420
Bi: 0.186 0.814 0.750
Bi: 0.814 0.186 0.250
Sb: 0.256 0.744 0.077
Sb: 0.256 0.744 0.423
Sb: 0.744 0.256 0.577
Sb: 0.744 0.256 0.923

=====

8.
# Ce7Bi2Sb2

An optimized crystal structure of Ce7Bi2Sb2 (GGA-PBE, Alexandria via LeMat-Bulk).

- Fermi-level density of states: 36.24 states/eV/cell
- DFT total energy: -61.81 eV/cell
- SG: Cmmm
- Formation energy from raw total energies: -4.271 eV per formula unit

Lattice parameters (Å, degrees): 7.559 7.559 6.622 90.00 90.00 100.44
Fractional coordinates of all 11 atoms:
Ce: 0.000 0.000 0.000
Ce: 0.000 0.500 0.299
Ce: 0.000 0.500 0.701
Ce: 0.500 0.000 0.299
Ce: 0.500 0.000 0.701
Ce: 0.500 0.500 0.292
Ce: 0.500 0.500 0.708
Bi: 0.180 0.180 0.500
Bi: 0.820 0.820 0.500
Sb: 0.277 0.723 0.000
Sb: 0.723 0.277 0.000

=====

Q: The lowest formation energy from raw total energies belongs to which entry?
A: Ce5BiSb2

=====

Q: The highest Fermi-level density of states belongs to which entry?
A: Ce5BiSb2

=====

Q: Which value of formation energy from raw total energies does entry 1 give?
A: -1.939 eV per formula unit

=====

Copy entry 6 word for word.
# CeBiSb2

An optimized crystal structure of CeBiSb2 (GGA-PBE, Alexandria via LeMat-Bulk).

- Fermi-level density of states: 4.86 states/eV/cell
- DFT total energy: -20.15 eV/cell
- SG: P4/mmm
- Formation energy from raw total energies: -2.087 eV per formula unit

Lattice parameters (Å, degrees): 4.993 4.993 4.514 90.00 90.00 90.00
Fractional coordinates of all 4 atoms:
Ce: 0.000 0.000 0.000
Bi: 0.500 0.500 0.000
Sb: 0.000 0.500 0.500
Sb: 0.500 0.000 0.500